Record 1
Entry from Alexandria via LeMat-Bulk: an optimized crystal structure of RbHgPd2 (PBE).

a = 4.7919 Å, b = 8.2247 Å, c = 6.1554 Å
α = 90.00°, β = 90.00°, γ = 90.00°
With the nearest neighbours (Å) after each atom.
Space group Pmmn (No. 59, origin choice 2)
Inequivalent atoms, fractional coordinates:
Rb 0.2500 0.2500 0.0229 x2  4 Pd 3.34-3.41
Hg 0.2500 0.7500 0.4764 x2  6 Pd 2.74-2.77
Pd 0.2500 0.0814 0.5173 x4  3 Hg 2.74-2.77, 3 Pd 2.75-2.77

## Properties
Energy of formation, eV/atom: -0.143
Crystal system: orthorhombic

Record 2
Entry from Alexandria via LeMat-Bulk: an optimized crystal structure of UCoGeRu (PBE).

a = 6.3713 Å, b = 6.3713 Å, c = 6.3713 Å
α = 90.00°, β = 90.00°, γ = 90.00°
With the nearest neighbours (Å) after each atom.
Space group F-43m (No. 216)
Inequivalent atoms, fractional coordinates:
U 0.0000 0.0000 0.0000 x4  4 Co 2.76, 4 Ru 2.76
Co 0.2500 0.2500 0.7500 x4  4 Ge 2.76, 4 U 2.76
Ge 0.0000 0.0000 0.5000 x4  4 Ru 2.76, 4 Co 2.76
Ru 0.2500 0.2500 0.2500 x4  4 U 2.76, 4 Ge 2.76

## Properties
Energy of formation, eV/atom: -0.141
Crystal system: cubic

Record 3
Entry from Alexandria via LeMat-Bulk: an optimized crystal structure of NaSr2TeN (PBE).

a = 5.2223 Å, b = 5.2223 Å, c = 4.8181 Å
α = 90.00°, β = 90.00°, γ = 90.00°
With the nearest neighbours (Å) after each atom.
Space group P4/mmm (No. 123)
Inequivalent atoms, fractional coordinates:
Na 0.0000 0.0000 0.0000 x1  2 N 2.41
Sr 0.0000 0.5000 0.5000 x2  2 N 2.61
Te 0.5000 0.5000 0.0000 x1  8 Sr 3.55, 4 Na 3.69
N 0.0000 0.0000 0.5000 x1  2 Na 2.41, 4 Sr 2.61

## Properties
Formation energy (no corrections), kJ per mole of atoms: -85
Crystal system: tetragonal

Record 4
Entry from Alexandria via LeMat-Bulk: an optimized crystal structure of LiNbZn (PBE).

a = 3.6047 Å, b = 3.6047 Å, c = 7.1800 Å
α = 90.00°, β = 90.00°, γ = 90.00°
With the nearest neighbours (Å) after each atom.
Space group P4/nmm (No. 129, origin choice 2)
Inequivalent atoms, fractional coordinates:
Li 0.2500 0.2500 0.2332 x2  4 Zn 2.46, 1 Nb 2.61
Nb 0.2500 0.2500 0.5974 x2  5 Li 2.61-2.82, 4 Nb 2.91
Zn 0.2500 0.7500 0.0000 x2  4 Li 2.46, 4 Zn 2.55

## Properties
Energy of formation, eV/atom: 0.274
Crystal system: tetragonal